## KCrO2 (PBE+U)

Data for crystalline KCrO2 at its relaxed geometry.

abc: 3.1238 3.1238 18.0179
angles: 90.00 90.00 120.00
Last column: nearest neighbours and their distance in Å.
Atoms (fractional coordinates):
1 K 0.0000 0.0000 0.0000  6 O 2.67
2 K 0.3333 0.6667 0.6667  6 O 2.67
3 K 0.6667 0.3333 0.3333  6 O 2.67
4 Cr 0.0000 0.0000 0.5000  6 O 2.08
5 Cr 0.3333 0.6667 0.1667  6 O 2.08
6 Cr 0.6667 0.3333 0.8333  6 O 2.08
7 O 0.0000 0.0000 0.2237  3 Cr 2.08
8 O 0.0000 0.0000 0.7763  3 Cr 2.08
9 O 0.3333 0.6667 0.4430  3 Cr 2.08
10 O 0.3333 0.6667 0.8904  3 Cr 2.08
11 O 0.6667 0.3333 0.1096  3 Cr 2.08
12 O 0.6667 0.3333 0.5570  3 Cr 2.08

Results
* density of states at the Fermi level: 0.00 states/eV per atom
* total magnetization: 0.750 μB per atom
* distance to the lowest polymorph of the same formula: 0 meV/atom